The following is a DFT calculation (PBE-GGA) of a relaxed CaTc2W crystal.

Cell lengths 2.7300, 4.6429, 5.4287 Å; angles 90.00, 99.82, 90.00 degrees
Atoms (fractional coordinates):
Ca 0.0000 0.0000 0.0000
Tc 0.5051 0.0000 0.4990
Tc 0.7282 0.5000 0.2376
W 0.2713 0.5000 0.7161

SG ... Pm
Energy above the lowest structure with this stoichiometry ... 273 meV/atom
DFT formation energy ... 13.21 kcal/mol of atoms


The following is a DFT calculation (PBE-GGA) of a relaxed NdZn2Au5 crystal.

Cell lengths 6.9422, 6.9422, 6.9422 Å; angles 146.51, 117.34, 72.94 degrees
Atoms (fractional coordinates):
Nd 0.0000 0.0000 0.0000
Zn 0.2602 0.7602 0.5000
Zn 0.7398 0.2398 0.5000
Au 0.1574 0.3679 0.7895
Au 0.4216 0.6321 0.7895
Au 0.5000 0.0000 0.5000
Au 0.5784 0.3679 0.2105
Au 0.8426 0.6321 0.2105

SG ... Immm
DFT formation energy ... -8.24 kcal/mol of atoms


The following is a DFT calculation (PBE-GGA) of a relaxed MgNbNi5 crystal.

Cell lengths 4.3012, 4.3012, 5.2547 Å; angles 90.00, 90.00, 90.00 degrees
Atoms (fractional coordinates):
Mg 0.0000 0.0000 0.0000
Nb 0.5000 0.5000 0.5000
Ni 0.0000 0.5000 0.2518
Ni 0.0000 0.5000 0.7482
Ni 0.5000 0.0000 0.2518
Ni 0.5000 0.0000 0.7482
Ni 0.5000 0.5000 0.0000

SG ... P4/mmm
DFT formation energy ... 2.27 kcal/mol of atoms


The following is a DFT calculation (PBE-GGA) of a relaxed RbHI2 crystal.

Cell lengths 6.0675, 6.0675, 6.0675 Å; angles 60.00, 60.00, 60.00 degrees
Atoms (fractional coordinates):
Rb 0.0000 0.0000 0.0000
H 0.5000 0.5000 0.5000
I 0.2500 0.2500 0.2500
I 0.7500 0.7500 0.7500

SG ... Fm-3m
Energy above the lowest structure with this stoichiometry ... 742 meV/atom